Computed, not measured: an optimized crystal structure of Ba4O3 at the PBE level of DFT.

Cell and atoms, written as POSCAR:
```
Ba4O3
1.0
2.000 1.155 13.677
-2.000 1.155 13.677
0.000 -2.309 13.677
Ba O
4 3
direct
0.115 0.115 0.115
0.371 0.371 0.371
0.629 0.629 0.629
0.885 0.885 0.885
0.000 0.000 0.000
0.251 0.251 0.251
0.749 0.749 0.749
```

Calculated values
The crystal system is trigonal. The value obtained for the offset from the most stable computed form is 0 meV per atom. The energy relative to the elements, uncorrected is -2.0662 eV per atom.